! Tl2Cu2MoO6 (GGA+U, optimized geometry); values from VASP
! Uncorrected energy ... -5.411 eV/atom
! Mass density ... 7.1 g/cm³
! Density of states at the Fermi level ... 3.8 states/eV/cell
&SYSTEM
  ibrav = 0, nat = 11, ntyp = 4
/
ATOMIC_SPECIES
O 16.00 O.upf
Cu 63.55 Cu.upf
Mo 95.94 Mo.upf
Tl 204.38 Tl.upf
ATOMIC_POSITIONS crystal
O 0.778 0.778 0.209
O 0.222 0.222 0.791
Cu 0.401 0.401 0.798
O 0.235 0.778 0.209
O 0.222 0.765 0.791
Mo 0.000 0.000 0.000
O 0.778 0.235 0.209
Tl 0.786 0.786 0.643
O 0.765 0.222 0.791
Cu 0.599 0.599 0.202
Tl 0.214 0.214 0.357
CELL_PARAMETERS angstrom
-2.483 -0.347 5.358
2.018 -3.917 3.948
3.474 2.393 5.030